(1)
Co2TcMo | GGA-PBE | relaxed

Its energy relative to the elements is 0.8 eV per formula unit. The energy above the most stable polymorph in this dataset is 21.85 kJ per mole of atoms.

It has space group P2/m (No. 10), with a = 4.543 Å, b = 2.664 Å, c = 4.588 Å, α = 90.00°, β = 109.36° and γ = 90.00°. The distinct sites, in fractional coordinates, are Co at (0.000, 0.000, 0.000), Co at (0.000, 0.500, 0.500), Tc at (0.500, 0.000, 0.500) and Mo at (0.500, 0.500, 0.000).

(2)
PrErAl2Au4 | GGA-PBE | relaxed

Its energy relative to the elements is -5.6 eV per formula unit.

It has space group R-3m (No. 166, hexagonal axes), with a = 4.5931 Å, b = 4.5931 Å, c = 27.6329 Å, α = 90.00°, β = 90.00° and γ = 120.00°. The distinct sites, in fractional coordinates, are Pr at (0.0000, 0.0000, 0.0000), Er at (0.0000, 0.0000, 0.5000), Al at (0.0000, 0.0000, 0.2432), Au at (0.0000, 0.0000, 0.1168) and Au at (0.0000, 0.0000, 0.3935).

(3)
TlOsPb3 | GGA-PBE | relaxed

Its energy relative to the elements is 2.3 eV per formula unit. The energy above the most stable polymorph in this dataset is 0.00 kJ per mole of atoms.

It has space group Pm-3m (No. 221), with a = 5.345 Å, b = 5.345 Å, c = 5.345 Å, α = 90.00°, β = 90.00° and γ = 90.00°. The distinct sites, in fractional coordinates, are Tl at (0.000, 0.000, 0.000), Os at (0.500, 0.500, 0.500) and Pb at (0.000, 0.500, 0.500).

(4)
NpTaTiOs | GGA-PBE | relaxed

Its energy relative to the elements is 0.6 eV per formula unit.

It has space group F-43m (No. 216), with a = 6.513 Å, b = 6.513 Å, c = 6.513 Å, α = 90.00°, β = 90.00° and γ = 90.00°. The distinct sites, in fractional coordinates, are Np at (0.000, 0.000, 0.000), Ta at (0.250, 0.250, 0.250), Ti at (0.250, 0.250, 0.750) and Os at (0.000, 0.000, 0.500).

Listing VASP energy for the structures above in their given order: -34.633, -106.512, -22.403, -173.432 eV/cell.